First-principles (PBE) data for an optimized crystal structure of Tm3TlPbSe, as listed in Alexandria via LeMat-Bulk.

## Properties
- formation energy without anion corrections (kJ per mole of atoms) = -65.75
- Fermi-level density of states (states/eV/f.u.) = 4.06
- calculated volume (Å³ per atom) = 27.59
- total magnetization (μB/cell) = 0.0

Cell: 3.9764 8.4650 11.0190 Å, 116.80 90.00 90.00°
With the nearest neighbours (Å) after each atom.
Positions (direct):
Tm  0.2500  0.6884  0.5121  3 Tl 3.18-3.31, 3 Pb 3.26-3.44
Tm  0.7500  0.9371  0.1113  2 Se 2.80
Tm  0.7500  0.5057  0.1674  3 Se 2.77-2.85
Tm  0.7500  0.3116  0.4879  3 Tl 3.18-3.31, 3 Pb 3.26-3.44
Tm  0.2500  0.4943  0.8326  3 Se 2.77-2.85
Tm  0.2500  0.0629  0.8887  2 Se 2.80
Tl  0.2500  0.1043  0.6096  2 Tl 3.01, 5 Tm 3.10-3.31
Tl  0.7500  0.8957  0.3904  2 Tl 3.01, 5 Tm 3.10-3.31
Pb  0.7500  0.7283  0.7587  8 Tm 3.16-3.47
Pb  0.2500  0.2717  0.2413  8 Tm 3.16-3.47
Se  0.2500  0.7042  0.1113  5 Tm 2.77-2.85
Se  0.7500  0.2958  0.8887  5 Tm 2.77-2.85

***

First-principles (PBE) data for an optimized crystal structure of Tm6TlPb2Se3, as listed in Alexandria via LeMat-Bulk.

## Properties
- formation energy without anion corrections (kJ per mole of atoms) = -98.02
- Fermi-level density of states (states/eV/f.u.) = 4.82
- calculated volume (Å³ per atom) = 25.95
- total magnetization (μB/cell) = 0.0

Cell: 3.9458 8.9660 9.8087 Å, 113.15 101.60 90.00°
With the nearest neighbours (Å) after each atom.
Positions (direct):
Tm  0.3279  0.9491  0.6557  3 Se 2.79-2.84
Tm  0.6635  0.5874  0.3270  3 Se 2.85-2.92, 2 Pb 3.16
Tm  0.6721  0.0509  0.3443  3 Se 2.79-2.84
Tm  0.9880  0.2697  0.9760  3 Se 2.80, 1 Pb 3.12
Tm  0.0120  0.7303  0.0240  3 Se 2.80, 1 Pb 3.12
Tm  0.3365  0.4126  0.6730  3 Se 2.85-2.92, 2 Pb 3.16
Tl  0.5000  0.0000  0.0000  6 Tm 3.15-3.20
Pb  0.8432  0.6927  0.6864  6 Tm 3.12-3.19
Pb  0.1568  0.3073  0.3136  6 Tm 3.12-3.19
Se  0.5000  0.5000  0.0000  6 Tm 2.80-2.92
Se  0.8304  0.1785  0.6607  6 Tm 2.79-2.85
Se  0.1696  0.8215  0.3392  6 Tm 2.79-2.85